Material: CaMnPb2O4
Method: DFT, GGA+U
State: optimized geometry

Computed properties:
E (Ha/atom): -0.2236
DOS(E_F) (states/eV per cell): 1.900

Lattice parameters (Å, degrees): 6.405 6.405 13.034 90.00 90.00 149.66
Fractional positions:
1 Ca 0.058 0.942 0.750
2 Ca 0.942 0.058 0.250
3 Mn 0.211 0.789 0.250
4 Mn 0.789 0.211 0.750
5 Pb 0.367 0.633 0.517
6 Pb 0.367 0.633 0.983
7 Pb 0.633 0.367 0.017
8 Pb 0.633 0.367 0.483
9 O 0.000 0.000 0.000
10 O 0.000 0.000 0.500
11 O 0.345 0.655 0.150
12 O 0.345 0.655 0.350
13 O 0.396 0.604 0.750
14 O 0.604 0.396 0.250
15 O 0.655 0.345 0.650
16 O 0.655 0.345 0.850